No. 1
DFT (GGA-PBE) results for a geometry-optimized Ti2TlH structure.

Unit cell a=3.1569 b=3.1569 c=21.0280 alpha=90.00 beta=90.00 gamma=120.00
Space group R3m (No. 160, hexagonal axes)
One atom of each set of equivalent atoms:
Ti (0.0000, 0.0000, 0.0000)
Ti (0.0000, 0.0000, 0.2317)
Tl (0.0000, 0.0000, 0.7821)
H (0.0000, 0.0000, 0.6155)

Values from the calculation:
**Relative energy among the computed polymorphs**: 0.083 eV per atom
**Spin magnetization**: 0.590 μB/f.u.

---

No. 2
DFT (GGA-PBE) results for a geometry-optimized Sr2LaTiAg structure.

Unit cell a=5.923 b=5.923 c=5.905 alpha=90.00 beta=90.00 gamma=90.00
Space group P4/mmm (No. 123)
One atom of each set of equivalent atoms:
Sr (0.000, 0.500, 0.000)
La (0.000, 0.000, 0.500)
Ti (0.500, 0.500, 0.500)
Ag (0.000, 0.000, 0.000)

Values from the calculation:
**Spin magnetization**: 0.106 μB/f.u.
**Calculated total energy**: -3.13 eV/atom

---

What is the spin magnetization in the second record?
0.106 μB/f.u.